Entry from OQMD: K2TmS2 after structural relaxation (GGA-PBE).

Cell lengths 8.092, 8.092, 8.092 Å; angles 124.26, 81.10, 126.28 degrees
Atoms (fractional coordinates):
K 0.158 0.111 0.269
K 0.342 0.611 0.953
K 0.658 0.389 0.047
K 0.842 0.889 0.731
Tm 0.250 0.750 0.500
Tm 0.750 0.250 0.500
S 0.092 0.700 0.792
S 0.408 0.200 0.607
S 0.592 0.800 0.393
S 0.908 0.300 0.208

## Properties
As for the energy: -4.245 eV/atom. As for the symmetry: Ibam (72).